[1]
DFT (GGA-PBE) results for crystalline FeBHAuC at its relaxed geometry.

Unit cell a=4.5695 b=2.6420 c=10.1529 alpha=90.00 beta=116.63 gamma=90.00
Fractional coordinates of all 10 atoms:
Au 0.7771 0.5000 0.4167
H 0.0393 0.0000 0.7442
H 0.0393 0.5000 0.2442
Fe 0.7292 0.0000 0.1693
B 0.0645 0.0000 0.6192
B 0.0645 0.5000 0.1192
Au 0.7771 0.0000 0.9167
C 0.4244 0.5000 0.1520
C 0.4244 0.0000 0.6520
Fe 0.7292 0.5000 0.6693

Values from the calculation:
For the total DFT energy (no corrections), the calculation gives -5.78 eV/atom. Its space group is No. 8.


[2]
DFT (GGA-PBE) results for crystalline FeBHAuC at its relaxed geometry.

Unit cell a=2.6555 b=3.7784 c=5.7757 alpha=100.93 beta=93.43 gamma=107.00
Fractional coordinates of all 5 atoms:
Fe 0.1010 0.6966 0.2806
H 0.7947 0.2076 0.1240
Au 0.4709 0.5163 0.8330
C 0.7587 0.0902 0.2973
B 0.8738 0.3896 0.5302

Values from the calculation:
For the total DFT energy (no corrections), the calculation gives -5.71 eV/atom. Its space group is No. 1.


[3]
DFT (GGA-PBE) results for crystalline FeBHAuC at its relaxed geometry.

Unit cell a=6.5479 b=2.7161 c=6.1271 alpha=90.00 beta=100.93 gamma=90.00
Fractional coordinates of all 10 atoms:
Au 0.1783 0.5000 0.5769
Au 0.1783 0.0000 0.0769
Fe 0.7394 0.0000 0.4718
C 0.6092 0.5000 0.2319
Fe 0.7394 0.5000 0.9718
B 0.5120 0.0000 0.1677
C 0.6092 0.0000 0.7319
H 0.8960 0.5000 0.5689
B 0.5120 0.5000 0.6677
H 0.8960 0.0000 0.0689

Values from the calculation:
For the total DFT energy (no corrections), the calculation gives -5.84 eV/atom. Its space group is No. 8.


[4]
DFT (GGA-PBE) results for crystalline FeBHAuC at its relaxed geometry.

Unit cell a=4.3254 b=2.7123 c=9.8487 alpha=90.00 beta=107.34 gamma=90.00
Fractional coordinates of all 10 atoms:
Fe 0.3289 0.5000 0.1340
Au 0.2130 0.0000 0.8827
B 0.8382 0.0000 0.6669
H 0.9438 0.5000 0.0523
C 0.6415 0.5000 0.6572
C 0.6415 0.0000 0.1572
H 0.9438 0.0000 0.5523
B 0.8382 0.5000 0.1669
Fe 0.3289 0.0000 0.6340
Au 0.2130 0.5000 0.3827

Values from the calculation:
For the total DFT energy (no corrections), the calculation gives -5.84 eV/atom. Its space group is No. 8.


[5]
DFT (GGA-PBE) results for crystalline FeBHAuC at its relaxed geometry.

Unit cell a=4.4023 b=3.1255 c=8.7858 alpha=90.00 beta=113.11 gamma=90.00
Fractional coordinates of all 10 atoms:
Fe 0.6427 0.0000 0.3276
C 0.6664 0.5000 0.2263
B 0.5663 0.5000 0.0402
C 0.6664 0.0000 0.7263
H 0.8582 0.0000 0.5233
Fe 0.6427 0.5000 0.8276
Au 0.2012 0.0000 0.8999
Au 0.2012 0.5000 0.3999
B 0.5663 0.0000 0.5402
H 0.8582 0.5000 0.0233

Values from the calculation:
For the total DFT energy (no corrections), the calculation gives -5.76 eV/atom. Its space group is No. 8.


[6]
DFT (GGA-PBE) results for crystalline FeBHAuC at its relaxed geometry.

Unit cell a=4.3629 b=2.6477 c=4.5363 alpha=90.00 beta=93.47 gamma=90.00
Fractional coordinates of all 5 atoms:
C 0.6120 0.5000 0.0905
H 0.9313 0.0000 0.0022
B 0.6198 0.5000 0.4271
Fe 0.6429 0.0000 0.8076
Au 0.1290 0.5000 0.5728

Values from the calculation:
For the total DFT energy (no corrections), the calculation gives -5.73 eV/atom. Its space group is No. 6.


[7]
DFT (GGA-PBE) results for crystalline FeBHAuC at its relaxed geometry.

Unit cell a=6.5369 b=2.7704 c=6.9215 alpha=90.00 beta=116.66 gamma=90.00
Fractional coordinates of all 10 atoms:
C 0.0361 0.0000 0.2362
B 0.9823 0.5000 0.2937
Au 0.6157 0.0000 0.7803
Fe 0.0374 0.0000 0.5266
Fe 0.0374 0.5000 0.0266
C 0.0361 0.5000 0.7362
B 0.9823 0.0000 0.7937
H 0.3177 0.5000 0.1405
H 0.3177 0.0000 0.6405
Au 0.6157 0.5000 0.2803

Values from the calculation:
For the total DFT energy (no corrections), the calculation gives -5.86 eV/atom. Its space group is No. 8.


[8]
DFT (GGA-PBE) results for crystalline FeBHAuC at its relaxed geometry.

Unit cell a=7.6694 b=2.7648 c=4.8569 alpha=90.00 beta=101.25 gamma=90.00
Fractional coordinates of all 10 atoms:
C 0.4939 0.5000 0.6566
H 0.6492 0.5000 0.7202
H 0.6492 0.0000 0.2202
B 0.4626 0.5000 0.9796
C 0.4939 0.0000 0.1566
Fe 0.2523 0.0000 0.7340
B 0.4626 0.0000 0.4796
Au 0.9496 0.5000 0.8120
Au 0.9496 0.0000 0.3120
Fe 0.2523 0.5000 0.2340

Values from the calculation:
For the total DFT energy (no corrections), the calculation gives -5.98 eV/atom. Its space group is No. 8.